No. 1
DFT (PBE) results for an optimized crystal structure of NbTcAs2.

Summary:
* E above lowest polymorph: 0.14 eV/f.u.
* energy of formation from the pure elements: -134 meV/atom

a = 3.3800 Å, b = 3.3800 Å, c = 20.6240 Å
α = 90.00°, β = 90.00°, γ = 120.00°
Closest atoms and distances in Å follow each position.
Space group R3m (No. 160, hexagonal axes)
One atom of each set of equivalent atoms:
Nb  0.0000  0.0000  0.0000 [3 per cell]  6 As 2.63-2.69
Tc  0.0000  0.0000  0.8380 [3 per cell]  6 As 2.51-2.58
As  0.0000  0.0000  0.4228 [3 per cell]  3 Tc 2.58, 3 Nb 2.69
As  0.0000  0.0000  0.5812 [3 per cell]  3 Tc 2.51, 3 Nb 2.63

=====

No. 2
DFT (PBE) results for an optimized crystal structure of Ba2LiSnH.

Summary:
* E above lowest polymorph: 0.15 eV/f.u.

a = 5.6286 Å, b = 5.6286 Å, c = 4.6492 Å
α = 90.00°, β = 90.00°, γ = 90.00°
Closest atoms and distances in Å follow each position.
Space group P4/mmm (No. 123)
One atom of each set of equivalent atoms:
Ba  0.0000  0.5000  0.0000 [2 per cell]  2 H 2.81
Li  0.0000  0.0000  0.5000 [1 per cell]  2 H 2.32
Sn  0.5000  0.5000  0.5000 [1 per cell]  8 Ba 3.65, 4 Li 3.98
H  0.0000  0.0000  0.0000 [1 per cell]  2 Li 2.32

=====

No. 3
DFT (PBE) results for an optimized crystal structure of TcAg2Au.

Summary:
* E above lowest polymorph: 0.81 eV/f.u.
* energy of formation from the pure elements: 494 meV/atom

a = 4.3052 Å, b = 4.3052 Å, c = 7.5327 Å
α = 90.00°, β = 90.00°, γ = 90.00°
Closest atoms and distances in Å follow each position.
Space group I-4m2 (No. 119)
One atom of each set of equivalent atoms:
Tc  0.0000  0.0000  0.0000 [2 per cell]  4 Au 2.86, 8 Ag 2.86-3.04
Ag  0.0000  0.0000  0.5000 [2 per cell]  4 Ag 2.86, 4 Au 2.86, 4 Tc 3.04
Ag  0.0000  0.5000  0.7500 [2 per cell]  4 Tc 2.86, 4 Ag 2.86, 4 Au 3.04
Au  0.0000  0.5000  0.2500 [2 per cell]  4 Tc 2.86, 8 Ag 2.86-3.04